1.
12
Lattice="8.460 -2.414 0.000 8.460 2.414 0.000 -6.741 0.000 8.636" Properties=species:S:1:pos:R:3 comment="Pm5Cd2Pb5, relaxed, DFT PBE" final_energy_ev_per_atom=-4.12 space_group="C2/m (12)" formation_enthalpy_0k_ev_per_atom=-0.45 e_above_lowest_polymorph_kcal_per_mol_atoms=0.000 pbc="T T T"
Pm 0.000 0.000 0.000
Pm -1.085 0.000 3.592
Pm -2.383 0.000 7.158
Pm 12.562 0.000 1.478
Pm 11.264 0.000 5.044
Cd 0.994 0.000 6.520
Cd 9.185 0.000 2.116
Pb 2.228 0.000 2.821
Pb 6.358 0.000 1.118
Pb 5.089 0.000 4.318
Pb 3.821 0.000 7.518
Pb 7.951 0.000 5.815



2.
5
Lattice="6.082 0.000 0.000 0.000 6.082 0.000 0.000 0.000 6.769" Properties=species:S:1:pos:R:3 comment="RbNaSr2Cl, relaxed, DFT PBE" final_energy_ev_per_atom=-2.05 space_group="P4/mmm (123)" raw_formation_energy_mev_per_atom=-552 pbc="T T T"
Rb 0.000 0.000 0.000
Na 3.041 3.041 0.000
Sr 0.000 3.041 3.385
Sr 3.041 0.000 3.385
Cl 0.000 0.000 3.385



3.
3
Lattice="-1.774 1.774 7.539 1.774 -1.774 7.539 1.774 1.774 -7.539" Properties=species:S:1:pos:R:3 comment="CePmTh, relaxed, DFT PBE" final_energy_ev_per_atom=-5.97 space_group="I4mm (107)" formation_enthalpy_0k_ev_per_atom=0.07 e_above_lowest_polymorph_kcal_per_mol_atoms=0.414 pbc="T T T"
Ce 0.000 0.000 0.000
Pm 0.000 0.000 10.185
Th 0.000 0.000 5.189



no.,volume (Å³ per atom)
1,29.39
2,50.08
3,31.62